Density functional theory data (PBE) for an optimized crystal structure of KCa2GeTe.

Calculated values
Formation energy without anion corrections ... 69.0 kJ/mol of atoms

Lattice parameters (Å, degrees): 5.9934 5.6925 5.9934 90.00 90.00 90.00
Last column: nearest neighbours and their distance in Å.
Atoms (fractional coordinates):
1 K 0.0000 0.0000 0.0000  2 Te 2.85, 4 Ca 3.00
2 Ge 0.5000 0.5000 0.5000  8 Ca 4.13, 4 Te 4.24
3 Te 0.0000 0.5000 0.0000  2 K 2.85
4 Ca 0.0000 0.0000 0.5000  2 K 3.00
5 Ca 0.5000 0.0000 0.0000  2 K 3.00

Density functional theory data (PBE) for an optimized crystal structure of TiFeSe2S.

Calculated values
Formation energy without anion corrections ... 16.2 kJ/mol of atoms

Lattice parameters (Å, degrees): 4.8561 4.0564 4.8561 90.00 90.00 90.00
Last column: nearest neighbours and their distance in Å.
Atoms (fractional coordinates):
1 S 0.0000 0.5000 0.0000  2 Fe 2.03
2 Fe 0.0000 0.0000 0.0000  2 S 2.03
3 Se 0.0000 0.0000 0.5000  2 Fe 2.43
4 Se 0.5000 0.0000 0.0000  2 Fe 2.43
5 Ti 0.5000 0.5000 0.5000  8 Se 3.16, 4 S 3.43

Magnetic moment list, top to bottom, in μB/atom: 0.086; 0.111